No. 1
Material: La2RhSe
Method: DFT, PBE
State: relaxed

Lattice parameters (Å, degrees): 4.603 3.963 6.052 70.89 90.01 90.00
Fractional positions:
La  0.875  0.000  0.000
Rh  0.375  0.505  0.991
La  0.375  0.267  0.467
Se  0.875  0.729  0.542

Results
Its uncorrected formation energy is -1.23 eV/atom. The total energy comes out at -25.59 eV/cell. As for the space-group type: Amm2.

***

No. 2
Material: La2RhSe
Method: DFT, PBE
State: relaxed

Lattice parameters (Å, degrees): 4.311 4.312 5.972 90.00 90.00 90.00
Fractional positions:
Rh  0.000  0.000  0.353
La  0.000  0.000  0.903
Se  0.500  0.500  0.872
La  0.500  0.500  0.372

Results
Its uncorrected formation energy is -1.29 eV/atom. The total energy comes out at -25.86 eV/cell. As for the space-group type: P4mm.

***

No. 3
Material: LaRh2Se
Method: DFT, PBE
State: relaxed

Lattice parameters (Å, degrees): 4.810 4.810 4.810 60.00 60.00 60.00
Last column: magnetic moment on the atom in μB.
Fractional positions:
Rh  0.750  0.750  0.750  0.40
La  0.500  0.500  0.500  0.00
Se  0.250  0.250  0.250  0.03
Rh  0.000  0.000  0.000  0.47

Results
Its uncorrected formation energy is -0.32 eV/atom. The total energy comes out at -24.41 eV/cell. As for the space-group type: F-43m.

***

No. 4
Material: LaRhSe
Method: DFT, PBE
State: relaxed

Lattice parameters (Å, degrees): 5.349 5.349 5.349 136.40 136.41 63.36
Fractional positions:
Rh  0.374  0.374  0.000
Se  0.646  0.646  0.000
La  0.980  0.980  0.000

Results
Its uncorrected formation energy is -0.89 eV/atom. The total energy comes out at -18.45 eV/cell. As for the space-group type: I4mm.

***

No. 5
Material: La2RhSe
Method: DFT, PBE
State: relaxed

Lattice parameters (Å, degrees): 5.292 5.292 5.292 128.49 111.69 90.46
Fractional positions:
La  0.986  0.986  0.000
Rh  0.750  0.250  0.500
Se  0.250  0.750  0.500
La  0.514  0.514  0.000

Results
Its uncorrected formation energy is -1.08 eV/atom. The total energy comes out at -25.00 eV/cell. As for the space-group type: Immm.

***

No. 6
Material: La2RhSe
Method: DFT, PBE
State: relaxed

Lattice parameters (Å, degrees): 4.186 4.186 7.734 74.43 74.42 59.89
Fractional positions:
Rh  0.750  0.750  0.750
La  0.007  0.007  0.977
Se  0.250  0.250  0.250
La  0.493  0.493  0.523

Results
Its uncorrected formation energy is -1.32 eV/atom. The total energy comes out at -25.98 eV/cell. As for the space-group type: C2/m.

***

No. 7
Material: LaRh2Se2
Method: DFT, PBE
State: relaxed

Lattice parameters (Å, degrees): 4.717 4.717 5.632 65.24 65.24 90.00
Fractional positions:
Se  0.250  0.750  0.500
La  0.000  0.000  0.000
Rh  0.350  0.350  0.300
Se  0.750  0.250  0.500
Rh  0.650  0.650  0.700

Results
Its uncorrected formation energy is -0.81 eV/atom. As for the energy above the most stable polymorph in this dataset: 0 meV per atom. The total energy comes out at -30.67 eV/cell. As for the space-group type: I4/mmm.

***

No. 8
Material: La2RhSe
Method: DFT, PBE
State: relaxed

Lattice parameters (Å, degrees): 4.391 4.106 11.981 99.87 90.00 90.00
Fractional positions:
La  0.750  0.940  0.880
Se  0.750  0.809  0.618
Se  0.250  0.191  0.382
La  0.750  0.676  0.351
La  0.250  0.324  0.649
Rh  0.250  0.453  0.906
Rh  0.750  0.547  0.094
La  0.250  0.060  0.120

Results
Its uncorrected formation energy is -1.32 eV/atom. The total energy comes out at -51.96 eV/cell. As for the space-group type: Cmcm.

***

No. 9
Material: LaRhSe
Method: DFT, PBE
State: relaxed

Lattice parameters (Å, degrees): 5.891 5.540 3.756 75.96 65.83 38.21
Fractional positions:
Se  0.690  0.690  0.310
La  0.991  0.991  0.009
Rh  0.319  0.319  0.681

Results
Its uncorrected formation energy is -0.69 eV/atom. The total energy comes out at -17.84 eV/cell. As for the space-group type: Fmm2.

***

No. 10
Material: LaRh2Se
Method: DFT, PBE
State: relaxed

Lattice parameters (Å, degrees): 5.549 5.549 5.549 46.63 46.63 46.63
Fractional positions:
Rh  0.958  0.958  0.958
Rh  0.256  0.256  0.256
La  0.747  0.747  0.747
Se  0.539  0.539  0.539

Results
Its uncorrected formation energy is -0.68 eV/atom. The total energy comes out at -25.83 eV/cell. As for the space-group type: R3m.

***

No. 11
Material: LaRh2Se
Method: DFT, PBE
State: relaxed

Lattice parameters (Å, degrees): 4.074 4.122 5.292 87.95 90.00 90.00
Fractional positions:
La  0.500  0.750  0.750
Rh  0.000  0.297  0.508
Rh  0.000  0.203  0.992
Se  0.500  0.250  0.250

Results
Its uncorrected formation energy is -0.60 eV/atom. The total energy comes out at -25.50 eV/cell. As for the space-group type: P2/m.

***

No. 12
Material: LaRh2Se
Method: DFT, PBE
State: relaxed

Lattice parameters (Å, degrees): 3.902 4.715 4.144 90.00 90.00 90.00
Fractional positions:
Rh  0.500  0.500  0.000
Se  0.500  0.000  0.500
La  0.000  0.500  0.500
Rh  0.000  0.000  0.000

Results
Its uncorrected formation energy is -0.55 eV/atom. The total energy comes out at -25.31 eV/cell. As for the space-group type: Pmmm.

***

No. 13
Material: LaRh2Se
Method: DFT, PBE
State: relaxed

Lattice parameters (Å, degrees): 3.836 3.836 5.516 90.00 90.00 90.00
Fractional positions:
Se  0.000  0.000  0.492
La  0.500  0.500  0.750
Rh  0.500  0.500  0.204
Rh  0.000  0.000  0.054

Results
Its uncorrected formation energy is -0.52 eV/atom. The total energy comes out at -25.20 eV/cell. As for the space-group type: P4mm.

***

No. 14
Material: LaRh4Se
Method: DFT, PBE
State: relaxed

Lattice parameters (Å, degrees): 5.352 5.352 5.352 60.00 60.00 60.00
Fractional positions:
La  0.000  0.000  0.000
Rh  0.873  0.376  0.376
Rh  0.376  0.376  0.376
Se  0.750  0.750  0.750
Rh  0.376  0.376  0.873
Rh  0.376  0.873  0.376

Results
Its uncorrected formation energy is -0.18 eV/atom. The total energy comes out at -38.89 eV/cell. As for the space-group type: F-43m.

***

No. 15
Material: La2RhSe
Method: DFT, PBE
State: relaxed

Lattice parameters (Å, degrees): 4.150 4.150 7.919 74.81 74.81 60.00
Fractional positions:
Rh  0.667  0.667  0.998
La  0.074  0.074  0.778
La  0.259  0.259  0.223
Se  0.500  0.500  0.501

Results
Its uncorrected formation energy is -1.26 eV/atom. The total energy comes out at -25.74 eV/cell. As for the space-group type: R3m.

***

No. 16
Material: La3RhSe
Method: DFT, PBE
State: relaxed

Lattice parameters (Å, degrees): 5.528 5.528 5.528 90.00 90.00 90.00
Fractional positions:
Se  0.500  0.500  0.500
La  0.000  0.500  0.000
Rh  0.000  0.000  0.000
La  0.000  0.000  0.500
La  0.500  0.000  0.000

Results
Its uncorrected formation energy is -0.57 eV/atom. As for the energy above the most stable polymorph in this dataset: 0 meV per atom. The total energy comes out at -28.49 eV/cell. As for the space-group type: Pm-3m.

***

No. 17
Material: LaRh6Se8
Method: DFT, PBE
State: relaxed

Lattice parameters (Å, degrees): 6.726 6.726 6.726 89.03 89.03 89.03
Fractional positions:
Rh  0.407  0.570  0.186
Se  0.752  0.373  0.141
Rh  0.186  0.407  0.570
Se  0.750  0.750  0.750
La  0.000  0.000  0.000
Rh  0.570  0.186  0.407
Rh  0.814  0.593  0.430
Se  0.250  0.250  0.250
Se  0.141  0.752  0.373
Se  0.373  0.141  0.752
Se  0.627  0.859  0.248
Se  0.859  0.248  0.627
Rh  0.430  0.814  0.593
Se  0.248  0.627  0.859
Rh  0.593  0.430  0.814

Results
Its uncorrected formation energy is -0.56 eV/atom. The total energy comes out at -85.24 eV/cell. As for the space-group type: R-3.

***

No. 18
Material: LaRh4Se8
Method: DFT, PBE
State: relaxed

Lattice parameters (Å, degrees): 7.619 7.619 7.580 59.83 59.83 60.00
Fractional positions:
Rh  0.500  0.000  0.000
Se  0.259  0.771  0.199
Se  0.741  0.229  0.801
Rh  0.500  0.500  0.000
Se  0.229  0.741  0.801
Se  0.771  0.771  0.199
Rh  0.000  0.500  0.000
Se  0.735  0.735  0.795
Rh  0.000  0.000  0.000
Se  0.229  0.229  0.801
Se  0.265  0.265  0.205
Se  0.771  0.259  0.199
La  0.500  0.500  0.500

Results
Its uncorrected formation energy is -0.66 eV/atom. The total energy comes out at -70.80 eV/cell. As for the space-group type: R-3m.

***

No. 19
Material: LaRhSe3
Method: DFT, PBE
State: relaxed

Lattice parameters (Å, degrees): 5.713 5.713 5.713 90.00 90.00 90.00
Last column: magnetic moment on the atom in μB.
Fractional positions:
La  0.000  0.000  0.000  0.02
Se  0.000  0.000  0.500  0.42
Se  0.500  0.000  0.000  0.34
Rh  0.500  0.500  0.500  1.73
Se  0.000  0.500  0.000  0.43

Results
Its uncorrected formation energy is 0.38 eV/atom. As for the energy above the most stable polymorph in this dataset: 1211 meV per atom. The total energy comes out at -20.81 eV/cell. As for the space-group type: Pm-3m.

***

No. 20
Material: La2RhSe
Method: DFT, PBE
State: relaxed

Lattice parameters (Å, degrees): 3.647 3.664 8.050 68.05 90.00 90.00
Fractional positions:
Se  0.500  0.750  0.750
Rh  0.500  0.250  0.250
La  0.000  0.033  0.014
La  0.000  0.467  0.486

Results
Its uncorrected formation energy is -1.18 eV/atom. The total energy comes out at -25.41 eV/cell. As for the space-group type: P2/m.